Record 1
Below is a relaxed PrLuGe2 crystal, with properties calculated at the PBE-GGA level.

```
data_PrLuGe2
_space_group_name_H-M_alt 'R -3 m'
_space_group_IT_number 166
_space_group_name_Hall '-R 3 2"'
_cell_length_a 4.6255
_cell_length_b 4.6255
_cell_length_c 16.2825
_cell_angle_alpha 90.00
_cell_angle_beta 90.00
_cell_angle_gamma 120.00
loop_
_atom_site_label
_atom_site_fract_x
_atom_site_fract_y
_atom_site_fract_z
Pr1 0.0000 0.0000 0.0000
Lu1 0.0000 0.0000 0.5000
Ge1 0.0000 0.0000 0.2377
```

Summary:
For the formation energy, the calculation gives -0.665 eV/atom. As for the density of states at the Fermi level: 0.584 states/eV/atom. The calculation puts the energy at -0.1947 Ha/atom.

---

Record 2
Below is a relaxed PrLuGe crystal, with properties calculated at the PBE-GGA level.

```
data_PrLuGe
_space_group_name_H-M_alt 'P 3 m 1'
_space_group_IT_number 156
_space_group_name_Hall 'P 3 -2"'
_cell_length_a 4.7657
_cell_length_b 4.7657
_cell_length_c 4.2468
_cell_angle_alpha 90.00
_cell_angle_beta 90.00
_cell_angle_gamma 120.00
loop_
_atom_site_label
_atom_site_fract_x
_atom_site_fract_y
_atom_site_fract_z
Pr1 0.0000 0.0000 0.0000
Lu1 0.3333 0.6667 0.5075
Ge1 0.6667 0.3333 0.4642
```

Summary:
The energy above the most stable polymorph in this dataset comes out at 0.036 eV per atom. For the formation energy, the calculation gives -0.450 eV/atom. As for the density of states at the Fermi level: 0.346 states/eV/atom. The calculation puts the energy at -0.1870 Ha/atom.

---

Record 3
Below is a relaxed PrLuTlGe crystal, with properties calculated at the PBE-GGA level.

```
data_PrLuTlGe
_space_group_name_H-M_alt 'F -4 3 m'
_space_group_IT_number 216
_space_group_name_Hall 'F -4 2 3'
_cell_length_a 7.473
_cell_length_b 7.473
_cell_length_c 7.473
_cell_angle_alpha 90.00
_cell_angle_beta 90.00
_cell_angle_gamma 90.00
loop_
_atom_site_label
_atom_site_fract_x
_atom_site_fract_y
_atom_site_fract_z
Pr1 0.000 0.000 0.000
Lu1 0.000 0.000 0.500
Tl1 0.250 0.250 0.250
Ge1 0.250 0.250 0.750
```

Summary:
For the formation energy, the calculation gives -0.391 eV/atom. As for the density of states at the Fermi level: 0.819 states/eV/atom. The calculation puts the energy at -0.1640 Ha/atom.

---

Record 4
Below is a relaxed PrLuZnGe crystal, with properties calculated at the PBE-GGA level.

```
data_PrLuZnGe
_space_group_name_H-M_alt 'F -4 3 m'
_space_group_IT_number 216
_space_group_name_Hall 'F -4 2 3'
_cell_length_a 7.183
_cell_length_b 7.183
_cell_length_c 7.183
_cell_angle_alpha 90.00
_cell_angle_beta 90.00
_cell_angle_gamma 90.00
loop_
_atom_site_label
_atom_site_fract_x
_atom_site_fract_y
_atom_site_fract_z
Pr1 0.000 0.000 0.000
Lu1 0.000 0.000 0.500
Zn1 0.250 0.250 0.250
Ge1 0.250 0.250 0.750
```

Summary:
For the formation energy, the calculation gives -0.484 eV/atom. As for the density of states at the Fermi level: 0.508 states/eV/atom. The calculation puts the energy at -0.1574 Ha/atom.